[1]
Ge2N2O | meta-GGA SCAN | PBEsol geometry

Geometry as POSCAR:
```
Ge2N2O
1.0
2.6789 -4.8636 0.0000
2.6789 4.8636 0.0000
-1.7036 0.0000 5.0368
Ge N O
4 4 2
Direct
0.0835 0.9165 0.5000 Ge
0.2330 0.7474 0.9954 Ge
0.7474 0.2330 0.4954 Ge
0.9165 0.0835 0.0000 Ge
0.0055 0.8490 0.1395 N
0.0731 0.6238 0.6304 N
0.6238 0.0731 0.1304 N
0.8490 0.0055 0.6395 N
0.2201 0.4672 0.1244 O
0.4672 0.2201 0.6244 O
```

Values from the calculation:
space group: No. 9
E_form (uncorrected): -578 meV/atom

---

[2]
P2OsSe | meta-GGA SCAN | PBEsol geometry

Geometry as POSCAR:
```
P2OsSe
1.0
0.0000 3.0638 3.0638
3.0638 0.0000 3.0638
3.0638 3.0638 0.0000
P Os Se
2 1 1
Direct
0.0000 0.0000 0.0000 P
0.2500 0.2500 0.2500 P
0.7500 0.7500 0.7500 Os
0.5000 0.5000 0.5000 Se
```

Values from the calculation:
space group: No. 216
E_form (uncorrected): 853 meV/atom

---

[3]
CrPtSe2 | meta-GGA SCAN | PBEsol geometry

Geometry as POSCAR:
```
CrPtSe2
1.0
0.0000 3.2118 3.2118
3.2118 0.0000 3.2118
3.2118 3.2118 0.0000
Cr Pt Se
1 1 2
Direct
0.0000 0.0000 0.0000 Cr
0.2500 0.2500 0.2500 Pt
0.5000 0.5000 0.5000 Se
0.7500 0.7500 0.7500 Se
```

Values from the calculation:
E above lowest polymorph: 280.1 kJ/mol of formula units
space group: No. 216
E_form (uncorrected): 349 meV/atom

---

[4]
LiHf3Tl | meta-GGA SCAN | PBEsol geometry

Geometry as POSCAR:
```
LiHf3Tl
1.0
5.2864 0.0000 0.0000
0.0000 5.2864 0.0000
0.0000 0.0000 5.2864
Li Hf Tl
1 3 1
Direct
0.0000 0.0000 0.0000 Li
0.0000 0.5000 0.5000 Hf
0.5000 0.0000 0.5000 Hf
0.5000 0.5000 0.0000 Hf
0.5000 0.5000 0.5000 Tl
```

Values from the calculation:
space group: No. 221
formation energy: 1340 meV per atom

---

[5]
Ba3CaTiWO9 | meta-GGA SCAN | PBEsol geometry

Geometry as POSCAR:
```
Ba3CaTiWO9
1.0
5.9056 0.0000 0.0000
-2.9528 5.1144 0.0000
0.0000 0.0000 14.7356
Ba Ca Ti W O
6 2 2 2 18
Direct
0.0000 0.0000 0.0000 Ba
0.0000 0.0000 0.5000 Ba
0.3333 0.6667 0.1362 Ba
0.3333 0.6667 0.8451 Ba
0.6667 0.3333 0.3451 Ba
0.6667 0.3333 0.6362 Ba
0.0000 0.0000 0.2437 Ca
0.0000 0.0000 0.7437 Ca
0.3333 0.6667 0.5977 Ti
0.6667 0.3333 0.0977 Ti
0.3333 0.6667 0.4045 W
0.6667 0.3333 0.9045 W
0.0341 0.5170 0.4908 O
0.1740 0.3480 0.6524 O
0.1740 0.8260 0.6524 O
0.1770 0.3540 0.3379 O
0.1770 0.8230 0.3379 O
0.3480 0.1740 0.1524 O
0.3540 0.1770 0.8379 O
0.4830 0.5170 0.4908 O
0.4830 0.9659 0.4908 O
0.5170 0.0341 0.9908 O
0.5170 0.4830 0.9908 O
0.6460 0.8230 0.3379 O
0.6520 0.8260 0.6524 O
0.8230 0.1770 0.8379 O
0.8230 0.6460 0.8379 O
0.8260 0.1740 0.1524 O
0.8260 0.6520 0.1524 O
0.9659 0.4830 0.9908 O
```

Values from the calculation:
space group: No. 186
E_form (uncorrected): -3140 meV/atom

---

[6]
YHgPb2 | meta-GGA SCAN | PBEsol geometry

Geometry as POSCAR:
```
YHgPb2
1.0
3.5975 0.0000 0.0000
0.0000 4.3836 0.0000
0.0000 0.0000 6.6623
Y Hg Pb
1 1 2
Direct
0.0000 0.0000 0.0000 Y
0.5000 0.5000 0.2432 Hg
0.0000 0.0000 0.4866 Pb
0.5000 0.5000 0.7556 Pb
```

Values from the calculation:
space group: No. 25
formation energy: -352 meV per atom

---

[7]
LiYBr2 | meta-GGA SCAN | PBEsol geometry

Geometry as POSCAR:
```
LiYBr2
1.0
3.5606 0.0000 0.0000
0.0000 3.5606 0.0000
0.0000 0.0000 6.8156
Li Y Br
1 1 2
Direct
0.0000 0.0000 0.0000 Li
0.0000 0.0000 0.5000 Y
0.5000 0.5000 0.2622 Br
0.5000 0.5000 0.7378 Br
```

Values from the calculation:
space group: No. 123
E_form (uncorrected): -1153 meV/atom

---

[8]
MgI2 | meta-GGA SCAN | PBEsol geometry

Geometry as POSCAR:
```
MgI2
1.0
4.1280 0.0000 0.0000
-2.0640 3.5749 0.0000
0.0000 0.0000 7.0391
Mg I
1 2
Direct
0.0000 0.0000 0.0000 Mg
0.3333 0.6667 0.7623 I
0.6667 0.3333 0.2377 I
```

Values from the calculation:
space group: No. 164
E_form (uncorrected): -1156 meV/atom

---

Spin magnetization values, unit μB per formula unit, following the record order: 0.00, 0.00, 3.17, 0.10, 0.00, 0.00, 0.00, 0.00.